Density functional theory data (PBE-GGA) for an optimized crystal structure of PaNi2H.

The structure belongs to space group P4/mmm (No. 123); the cell edges are 2.9824, 2.9824 and 5.9418 Å and the angles 90.00°, 90.00° and 90.00°. The inequivalent atoms are Pa at (0.0000, 0.0000, 0.0000), Ni at (0.5000, 0.5000, 0.3072) and H at (0.0000, 0.0000, 0.5000).

The calculation puts the total magnetic moment at 0.0 μB/f.u. The calculation puts the calculated volume at 13.2 Å³ per atom. The value obtained for the raw total energy is -23.62 eV/cell. The calculation puts the polymorph energy (0 for the lowest one) at 546 meV per atom.

Density functional theory data (PBE-GGA) for an optimized crystal structure of Pr4SnOs.

The structure belongs to space group C2/c (No. 15); the cell edges are 8.9457, 13.9765 and 6.3380 Å and the angles 90.00°, 110.23° and 90.00°. The inequivalent atoms are Pr at (0.1091, 0.1707, 0.0566), Pr at (0.2158, 0.4292, 0.3704), Sn at (0.0000, 0.3739, 0.7500) and Os at (0.0000, 0.0008, 0.7500).

The calculation puts the total magnetic moment at 0.0 μB/f.u. The calculation puts the calculated volume at 31.0 Å³ per atom. Its formation energy is -0.3297 eV/atom. The value obtained for the raw total energy is -145.32 eV/cell.

Density functional theory data (PBE-GGA) for an optimized crystal structure of Ti2AlCr.

The structure belongs to space group F-43m (No. 216); the cell edges are 6.2945, 6.2945 and 6.2945 Å and the angles 90.00°, 90.00° and 90.00°. The inequivalent atoms are Ti at (0.0000, 0.0000, 0.0000), Ti at (0.2500, 0.2500, 0.2500), Al at (0.2500, 0.2500, 0.7500) and Cr at (0.0000, 0.0000, 0.5000).

The calculation puts the total magnetic moment at 0.8 μB/f.u. The calculation puts the calculated volume at 15.6 Å³ per atom. Its formation energy is -0.1413 eV/atom. The value obtained for the raw total energy is -118.88 eV/cell.

Density functional theory data (PBE-GGA) for an optimized crystal structure of LaPtN2.

The structure belongs to space group R-3m (No. 166, hexagonal axes); the cell edges are 4.0876, 4.0876 and 16.4850 Å and the angles 90.00°, 90.00° and 120.00°. The inequivalent atoms are La at (0.0000, 0.0000, 0.0000), Pt at (0.0000, 0.0000, 0.5000) and N at (0.0000, 0.0000, 0.3884).

The calculation puts the total magnetic moment at 0.0 μB/f.u. The calculation puts the calculated volume at 19.9 Å³ per atom. For the raw formation energy, the calculation gives -1.28 eV per formula unit. The value obtained for the raw total energy is -86.70 eV/cell. The calculation puts the polymorph energy (0 for the lowest one) at 0 meV per atom.

Density functional theory data (PBE-GGA) for an optimized crystal structure of LaGe2Au5.

The structure belongs to space group Immm (No. 71); the cell edges are 4.4140, 7.3313 and 10.3045 Å and the angles 90.00°, 90.00° and 90.00°. The inequivalent atoms are La at (0.0000, 0.0000, 0.0000), Ge at (0.0000, 0.5000, 0.2486), Au at (0.0000, 0.1972, 0.3613) and Au at (0.0000, 0.5000, 0.0000).

The calculation puts the total magnetic moment at 0.0 μB/f.u. The calculation puts the calculated volume at 20.8 Å³ per atom. Its formation energy is -0.3545 eV/atom. The value obtained for the raw total energy is -66.77 eV/cell.

Density functional theory data (PBE-GGA) for an optimized crystal structure of Dy3ZnRh4.

The structure belongs to space group P4/mmm (No. 123); the cell edges are 4.7097, 4.7097 and 6.6323 Å and the angles 90.00°, 90.00° and 90.00°. The inequivalent atoms are Dy at (0.0000, 0.0000, 0.0000), Dy at (0.0000, 0.0000, 0.5000), Dy at (0.5000, 0.5000, 0.0000), Zn at (0.5000, 0.5000, 0.5000) and Rh at (0.0000, 0.5000, 0.2573).

The calculation puts the total magnetic moment at 0.0 μB/f.u. The calculation puts the calculated volume at 18.4 Å³ per atom. Its formation energy is -0.7458 eV/atom. The value obtained for the raw total energy is -50.45 eV/cell.

Density functional theory data (PBE-GGA) for an optimized crystal structure of LiCl3.

The structure belongs to space group Pm-3n (No. 223); the cell edges are 5.3945, 5.3945 and 5.3945 Å and the angles 90.00°, 90.00° and 90.00°. The inequivalent atoms are Li at (0.0000, 0.0000, 0.0000) and Cl at (0.0000, 0.2500, 0.5000).

The calculation puts the total magnetic moment at 0.0 μB/f.u. The calculation puts the calculated volume at 19.6 Å³ per atom. For the raw formation energy, the calculation gives -1.95 eV per formula unit. The value obtained for the raw total energy is -18.81 eV/cell. The calculation puts the polymorph energy (0 for the lowest one) at 379 meV per atom.

Density functional theory data (PBE-GGA) for an optimized crystal structure of Y2Si5Ir3.

The structure belongs to space group Ibam (No. 72); the cell edges are 9.9853, 11.4591 and 5.8559 Å and the angles 90.00°, 90.00° and 90.00°. The inequivalent atoms are Y at (0.2294, 0.1306, 0.0000), Si at (0.0000, 0.0000, 0.2500), Si at (0.0000, 0.2740, 0.2500), Si at (0.1553, 0.3934, 0.0000), Ir at (0.0000, 0.5000, 0.2500) and Ir at (0.1137, 0.1396, 0.5000).

The calculation puts the total magnetic moment at 0.0 μB/f.u. The calculation puts the calculated volume at 16.8 Å³ per atom. For the raw formation energy, the calculation gives -9.78 eV per formula unit. The value obtained for the raw total energy is -305.61 eV/cell.

Density functional theory data (PBE-GGA) for an optimized crystal structure of Nd2Ge5Ir3.

The structure belongs to space group Ibam (No. 72); the cell edges are 10.2952, 11.9798 and 6.1262 Å and the angles 90.00°, 90.00° and 90.00°. The inequivalent atoms are Nd at (0.2287, 0.1327, 0.0000), Ge at (0.0000, 0.0000, 0.2500), Ge at (0.0000, 0.2748, 0.2500), Ge at (0.1598, 0.3999, 0.0000), Ir at (0.0000, 0.5000, 0.2500) and Ir at (0.1100, 0.1409, 0.5000).

The calculation puts the total magnetic moment at 0.0 μB/f.u. The calculation puts the calculated volume at 18.9 Å³ per atom. Its formation energy is -0.7456 eV/atom. The value obtained for the raw total energy is -266.65 eV/cell.

Density functional theory data (PBE-GGA) for an optimized crystal structure of RbDy2CuSe4.

The structure belongs to space group Cmcm (No. 63); the cell edges are 4.1392, 14.3408 and 14.4322 Å and the angles 90.00°, 90.00° and 90.00°. The inequivalent atoms are Rb at (0.0000, 0.1107, 0.2500), Dy at (0.0000, 0.3661, 0.0638), Cu at (0.0000, 0.1628, 0.7500), Se at (0.0000, 0.0000, 0.0000), Se at (0.0000, 0.2616, 0.6091) and Se at (0.0000, 0.4300, 0.2500).

The calculation puts the total magnetic moment at 0.0 μB/f.u. The calculation puts the calculated volume at 26.8 Å³ per atom. For the raw formation energy, the calculation gives -12.03 eV per formula unit. The value obtained for the raw total energy is -160.95 eV/cell.

Density functional theory data (PBE-GGA) for an optimized crystal structure of CrPSe3.

The structure belongs to space group C2/m (No. 12); the cell edges are 6.3758, 11.0144 and 7.3775 Å and the angles 90.00°, 106.87° and 90.00°. The inequivalent atoms are Cr at (0.0000, 0.1669, 0.0000), P at (0.0536, 0.5000, 0.1596), Se at (0.2071, 0.0000, 0.2175) and Se at (0.2440, 0.1824, 0.7825).

The calculation puts the total magnetic moment at 2.9 μB/f.u. The calculation puts the calculated volume at 24.8 Å³ per atom. For the raw formation energy, the calculation gives -1.34 eV per formula unit. The value obtained for the raw total energy is -107.29 eV/cell. The calculation puts the polymorph energy (0 for the lowest one) at 0 meV per atom.

Density functional theory data (PBE-GGA) for an optimized crystal structure of Lu2MgIn.

The structure belongs to space group Fm-3m (No. 225); the cell edges are 7.3763, 7.3763 and 7.3763 Å and the angles 90.00°, 90.00° and 90.00°. The inequivalent atoms are Lu at (0.2500, 0.2500, 0.2500), Mg at (0.0000, 0.0000, 0.0000) and In at (0.0000, 0.0000, 0.5000).

The calculation puts the total magnetic moment at 0.0 μB/f.u. The calculation puts the calculated volume at 25.1 Å³ per atom. Its formation energy is -0.2623 eV/atom. The value obtained for the raw total energy is -57.70 eV/cell. The calculation puts the polymorph energy (0 for the lowest one) at 6 meV per atom.

Copy entry 12 word for word.
Density functional theory data (PBE-GGA) for an optimized crystal structure of Lu2MgIn.

The structure belongs to space group Fm-3m (No. 225); the cell edges are 7.3763, 7.3763 and 7.3763 Å and the angles 90.00°, 90.00° and 90.00°. The inequivalent atoms are Lu at (0.2500, 0.2500, 0.2500), Mg at (0.0000, 0.0000, 0.0000) and In at (0.0000, 0.0000, 0.5000).

The calculation puts the total magnetic moment at 0.0 μB/f.u. The calculation puts the calculated volume at 25.1 Å³ per atom. Its formation energy is -0.2623 eV/atom. The value obtained for the raw total energy is -57.70 eV/cell. The calculation puts the polymorph energy (0 for the lowest one) at 6 meV per atom.

Among the records above, which one has the highest calculated volume?
Pr4SnOs

The lowest raw total energy belongs to which entry?
Y2Si5Ir3